(1)
LiRuCl2 | GGA-PBE | optimized geometry

## Properties
For the energy above the most stable polymorph in this dataset, the calculation gives 0.45 eV/f.u. The calculation puts the density of states at the Fermi level at 1.84 states/eV/f.u. For the total moment, the calculation gives 0.461 μB per atom. As for the uncorrected energy: -16.306 eV per formula unit. For the energy relative to the elements, uncorrected, the calculation gives -0.356 eV/atom.

a b c (Å): 3.3929 3.3929 6.7954
angles (deg): 90.00 90.00 90.00
Fractional positions:
1 Li 0.0000 0.0000 0.0000
2 Ru 0.5000 0.5000 0.3193
3 Cl 0.0000 0.0000 0.4189
4 Cl 0.5000 0.5000 0.9313


(2)
TcAgBr2 | GGA-PBE | optimized geometry

## Properties
For the energy above the most stable polymorph in this dataset, the calculation gives 1.22 eV/f.u. The calculation puts the density of states at the Fermi level at 2.42 states/eV/f.u. For the total moment, the calculation gives 0.000 μB per atom. As for the uncorrected energy: -14.502 eV per formula unit. For the energy relative to the elements, uncorrected, the calculation gives 0.515 eV/atom.

a b c (Å): 12.0023 12.0023 12.0023
angles (deg): 14.49 14.49 14.49
Fractional positions:
1 Tc 0.0000 0.0000 0.0000
2 Ag 0.5000 0.5000 0.5000
3 Br 0.0670 0.0670 0.0670
4 Br 0.9330 0.9330 0.9330